# 1
A plane-wave DFT calculation with PBE was carried out for a relaxed structure of YZrC2.

a = 3.5077 Å, b = 3.5077 Å, c = 17.0664 Å
α = 90.00°, β = 90.00°, γ = 120.00°
Space group R3m (No. 160, hexagonal axes)
Inequivalent atoms, fractional coordinates:
Y (0.0000, 0.0000, 0.0000) [3 per cell]
Zr (0.0000, 0.0000, 0.8250) [3 per cell]
C (0.0000, 0.0000, 0.4211) [3 per cell]
C (0.0000, 0.0000, 0.5650) [3 per cell]

Relative energy among the computed polymorphs, meV per atom: 340
Size of the total moment, μB per cell: 0.00
Energy relative to the elements, eV/atom: -0.048
Calculated density, Mg/m³: 5.59
DOS at the Fermi energy, states/eV/cell: 10.0

=====

# 2
A plane-wave DFT calculation with PBE was carried out for a relaxed structure of ScWBr2.

a = 3.090 Å, b = 3.929 Å, c = 6.325 Å
α = 90.00°, β = 90.00°, γ = 90.00°
Space group Pmmm (No. 47)
Inequivalent atoms, fractional coordinates:
Sc (0.000, 0.000, 0.000) [1 per cell]
W (0.000, 0.000, 0.500) [1 per cell]
Br (0.500, 0.500, 0.251) [2 per cell]

Relative energy among the computed polymorphs, meV per atom: 1023
Size of the total moment, μB per cell: 0.00
Calculated density, Mg/m³: 8.40
DOS at the Fermi energy, states/eV/cell: 4.0